Entry 1:
{"formula": "LaHo2Er", "functional": "PBE", "state": "relaxed", "cell": [[1.800, 1.039, 11.528], [-1.800, 1.039, 11.528], [0.000, -2.078, 11.528]], "species": ["La", "Ho", "Ho", "Er"], "frac_coords": [[0.000, 0.000, 0.000], [0.419, 0.419, 0.419], [0.581, 0.581, 0.581], [0.166, 0.166, 0.166]], "formation_enthalpy_0k_ev_per_atom": 0.009, "spacegroup": "No. 160"}


Entry 2:
{"formula": "TePbBrF2", "functional": "PBE", "state": "relaxed", "cell": [[4.538, 0.000, 0.000], [0.000, 4.538, 0.000], [0.000, 0.000, 7.017]], "species": ["Te", "Pb", "Br", "F", "F"], "frac_coords": [[0.000, 0.000, 0.000], [0.500, 0.500, 0.500], [0.500, 0.500, 0.000], [0.000, 0.500, 0.500], [0.500, 0.000, 0.500]], "formation_energy_uncorrected_ev_per_atom": -1.071, "spacegroup": "No. 123"}


Entry 3:
{"formula": "Sr4GaRh", "functional": "PBE", "state": "relaxed", "cell": [[4.917, -7.246, 0.000], [4.917, 7.246, 0.000], [-3.306, 0.000, 5.942]], "species": ["Sr", "Sr", "Sr", "Sr", "Sr", "Sr", "Sr", "Sr", "Ga", "Ga", "Rh", "Rh"], "frac_coords": [[0.052, 0.711, 0.920], [0.226, 0.353, 0.706], [0.289, 0.948, 0.580], [0.353, 0.226, 0.206], [0.647, 0.774, 0.794], [0.711, 0.052, 0.420], [0.774, 0.647, 0.294], [0.948, 0.289, 0.080], [0.365, 0.635, 0.250], [0.635, 0.365, 0.750], [0.002, 0.998, 0.750], [0.998, 0.002, 0.250]], "formation_enthalpy_0k_ev_per_atom": -0.254, "spacegroup": "No. 15"}